# Y2Ho3Te2, optimized geometry, DFT PBE
# Theoretical density = 7.54 g/cm3
# Formation energy without anion corrections = -710 meV/atom
# DOS(E_F) = 7.34 states/eV per cell
# Total magnetic moment = 0.0 Bohr magnetons per cell
# Electronic total energy = -37.92 eV for the cell shown
data_Y2Ho3Te2
_space_group_name_H-M_alt 'P 1'
_space_group_IT_number 1
_space_group_name_Hall 'P 1'
_cell_length_a 6.835
_cell_length_b 6.835
_cell_length_c 8.486
_cell_angle_alpha 110.92
_cell_angle_beta 110.92
_cell_angle_gamma 33.73
loop_
_atom_site_label
_atom_site_type_symbol
_atom_site_fract_x
_atom_site_fract_y
_atom_site_fract_z
Y1 Y 0.138 0.138 0.300
Y2 Y 0.862 0.862 0.700
Ho1 Ho 0.383 0.383 0.057
Ho2 Ho 0.500 0.500 0.500
Ho3 Ho 0.617 0.617 0.943
Te1 Te 0.181 0.181 0.707
Te2 Te 0.819 0.819 0.293



# PrTm9Th2, optimized geometry, DFT PBE
# Theoretical density = 9.23 g/cm3
# ΔE to the lowest computed polymorph = 69 meV per atom
# Energy of formation = 0.10 eV per atom
# DOS(E_F) = 20.86 states/eV per cell
# Total magnetic moment = 0.0 Bohr magnetons per cell
# Electronic total energy = -58.66 eV for the cell shown
data_PrTm9Th2
_space_group_name_H-M_alt 'P 1'
_space_group_IT_number 1
_space_group_name_Hall 'P 1'
_cell_length_a 11.241
_cell_length_b 11.241
_cell_length_c 3.493
_cell_angle_alpha 90.00
_cell_angle_beta 90.00
_cell_angle_gamma 120.00
loop_
_atom_site_label
_atom_site_type_symbol
_atom_site_fract_x
_atom_site_fract_y
_atom_site_fract_z
Pr1 Pr 0.000 0.000 0.000
Tm1 Tm 0.000 0.500 0.000
Tm2 Tm 0.176 0.353 0.500
Tm3 Tm 0.176 0.824 0.500
Tm4 Tm 0.353 0.176 0.500
Tm5 Tm 0.500 0.000 0.000
Tm6 Tm 0.500 0.500 0.000
Tm7 Tm 0.647 0.824 0.500
Tm8 Tm 0.824 0.176 0.500
Tm9 Tm 0.824 0.647 0.500
Th1 Th 0.333 0.667 0.000
Th2 Th 0.667 0.333 0.000



# BaAsPb2Au, optimized geometry, DFT PBE
# Theoretical density = 5.44 g/cm3
# ΔE to the lowest computed polymorph = 1507 meV per atom
# Energy of formation = 1.07 eV per atom
# DOS(E_F) = 5.47 states/eV per cell
# Total magnetic moment = 0.2 Bohr magnetons per cell
# Electronic total energy = -11.90 eV for the cell shown
data_BaAsPb2Au
_space_group_name_H-M_alt 'P 1'
_space_group_IT_number 1
_space_group_name_Hall 'P 1'
_cell_length_a 6.649
_cell_length_b 6.649
_cell_length_c 5.690
_cell_angle_alpha 90.00
_cell_angle_beta 90.00
_cell_angle_gamma 90.00
loop_
_atom_site_label
_atom_site_type_symbol
_atom_site_fract_x
_atom_site_fract_y
_atom_site_fract_z
Ba1 Ba 0.000 0.000 0.000
As1 As 0.500 0.500 0.500
Pb1 Pb 0.000 0.500 0.000
Pb2 Pb 0.500 0.000 0.000
Au1 Au 0.000 0.000 0.500



# Sr5Cr4, optimized geometry, DFT PBE
# Theoretical density = 3.34 g/cm3
# ΔE to the lowest computed polymorph = 0 meV per atom
# Energy of formation = 0.76 eV per atom
# DOS(E_F) = 12.98 states/eV per cell
# Total magnetic moment = 38.8 Bohr magnetons per cell
# Electronic total energy = -80.04 eV for the cell shown
data_Sr5Cr4
_space_group_name_H-M_alt 'P 1'
_space_group_IT_number 1
_space_group_name_Hall 'P 1'
_cell_length_a 10.164
_cell_length_b 10.164
_cell_length_c 7.180
_cell_angle_alpha 90.00
_cell_angle_beta 90.00
_cell_angle_gamma 120.00
loop_
_atom_site_label
_atom_site_type_symbol
_atom_site_fract_x
_atom_site_fract_y
_atom_site_fract_z
Sr1 Sr 0.000 0.281 0.250
Sr2 Sr 0.000 0.719 0.750
Sr3 Sr 0.281 0.000 0.250
Sr4 Sr 0.281 0.281 0.750
Sr5 Sr 0.333 0.667 0.000
Sr6 Sr 0.333 0.667 0.500
Sr7 Sr 0.667 0.333 0.000
Sr8 Sr 0.667 0.333 0.500
Sr9 Sr 0.719 0.000 0.750
Sr10 Sr 0.719 0.719 0.250
Cr1 Cr 0.000 0.000 0.000
Cr2 Cr 0.000 0.000 0.500
Cr3 Cr 0.000 0.380 0.750
Cr4 Cr 0.000 0.620 0.250
Cr5 Cr 0.380 0.000 0.750
Cr6 Cr 0.380 0.380 0.250
Cr7 Cr 0.620 0.000 0.250
Cr8 Cr 0.620 0.620 0.750



# NdIn2Br8, optimized geometry, DFT PBE
# Theoretical density = 3.57 g/cm3
# Formation energy without anion corrections = -1065 meV/atom
# DOS(E_F) = 4.59 states/eV per cell
# Total magnetic moment = 0.0 Bohr magnetons per cell
# Electronic total energy = -35.35 eV for the cell shown
data_NdIn2Br8
_space_group_name_H-M_alt 'P 1'
_space_group_IT_number 1
_space_group_name_Hall 'P 1'
_cell_length_a 8.556
_cell_length_b 8.556
_cell_length_c 7.231
_cell_angle_alpha 97.54
_cell_angle_beta 97.54
_cell_angle_gamma 64.16
loop_
_atom_site_label
_atom_site_type_symbol
_atom_site_fract_x
_atom_site_fract_y
_atom_site_fract_z
Nd1 Nd 0.000 0.000 0.000
In1 In 0.189 0.189 0.643
In2 In 0.811 0.811 0.357
Br1 Br 0.126 0.701 0.225
Br2 Br 0.175 0.175 0.265
Br3 Br 0.299 0.874 0.775
Br4 Br 0.361 0.361 0.772
Br5 Br 0.639 0.639 0.228
Br6 Br 0.701 0.126 0.225
Br7 Br 0.825 0.825 0.735
Br8 Br 0.874 0.299 0.775



# MnBe2Zn2, optimized geometry, DFT PBE
# Theoretical density = 6.24 g/cm3
# Energy of formation = 0.22 eV per atom
# DOS(E_F) = 6.57 states/eV per cell
# Total magnetic moment = 0.0 Bohr magnetons per cell
# Electronic total energy = -36.17 eV for the cell shown
data_MnBe2Zn2
_space_group_name_H-M_alt 'P 1'
_space_group_IT_number 1
_space_group_name_Hall 'P 1'
_cell_length_a 6.512
_cell_length_b 6.512
_cell_length_c 2.556
_cell_angle_alpha 90.00
_cell_angle_beta 90.00
_cell_angle_gamma 90.00
loop_
_atom_site_label
_atom_site_type_symbol
_atom_site_fract_x
_atom_site_fract_y
_atom_site_fract_z
Mn1 Mn 0.000 0.000 0.000
Mn2 Mn 0.500 0.500 0.000
Be1 Be 0.125 0.375 0.000
Be2 Be 0.375 0.875 0.000
Be3 Be 0.625 0.125 0.000
Be4 Be 0.875 0.625 0.000
Zn1 Zn 0.173 0.673 0.500
Zn2 Zn 0.327 0.173 0.500
Zn3 Zn 0.673 0.827 0.500
Zn4 Zn 0.827 0.327 0.500



# SrPmZnIr, optimized geometry, DFT PBE
# Theoretical density = 8.52 g/cm3
# Energy of formation = -0.26 eV per atom
# DOS(E_F) = 3.34 states/eV per cell
# Total magnetic moment = 0.0 Bohr magnetons per cell
# Electronic total energy = -17.61 eV for the cell shown
data_SrPmZnIr
_space_group_name_H-M_alt 'P 1'
_space_group_IT_number 1
_space_group_name_Hall 'P 1'
_cell_length_a 5.131
_cell_length_b 5.131
_cell_length_c 5.131
_cell_angle_alpha 60.00
_cell_angle_beta 60.00
_cell_angle_gamma 60.00
loop_
_atom_site_label
_atom_site_type_symbol
_atom_site_fract_x
_atom_site_fract_y
_atom_site_fract_z
Sr1 Sr 0.000 0.000 0.000
Pm1 Pm 0.500 0.500 0.500
Zn1 Zn 0.750 0.750 0.750
Ir1 Ir 0.250 0.250 0.250



# InAg2BiI, optimized geometry, DFT PBE
# Theoretical density = 5.68 g/cm3
# Formation energy without anion corrections = 293 meV/atom
# DOS(E_F) = 2.21 states/eV per cell
# Total magnetic moment = 0.0 Bohr magnetons per cell
# Electronic total energy = -12.41 eV for the cell shown
data_InAg2BiI
_space_group_name_H-M_alt 'P 1'
_space_group_IT_number 1
_space_group_name_Hall 'P 1'
_cell_length_a 5.459
_cell_length_b 5.459
_cell_length_c 6.536
_cell_angle_alpha 90.00
_cell_angle_beta 90.00
_cell_angle_gamma 90.00
loop_
_atom_site_label
_atom_site_type_symbol
_atom_site_fract_x
_atom_site_fract_y
_atom_site_fract_z
In1 In 0.000 0.000 0.000
Ag1 Ag 0.000 0.500 0.500
Ag2 Ag 0.500 0.000 0.500
Bi1 Bi 0.500 0.500 0.500
I1 I 0.500 0.500 0.000